(1)
Below is crystalline Mg4ScBe at its relaxed geometry, with properties calculated at the PBE level.

Calculated values
The density of states at the Fermi level is 0.432 states/eV/atom. The formation energy comes out at 38.81 kJ/mol of atoms.

Cell lengths 5.6865, 5.6865, 5.6865 Å; angles 60.00, 60.00, 60.00 degrees
Element x y z (fractional)
Mg (0.1250, 0.1250, 0.1250)
Mg (0.1250, 0.1250, 0.6250)
Mg (0.1250, 0.6250, 0.1250)
Mg (0.6250, 0.1250, 0.1250)
Sc (0.7500, 0.7500, 0.7500)
Be (0.5000, 0.5000, 0.5000)


(2)
Below is crystalline Mg2ScBe at its relaxed geometry, with properties calculated at the PBE level.

Calculated values
The density of states at the Fermi level is 0.821 states/eV/atom. The formation energy comes out at 31.32 kJ/mol of atoms.

Cell lengths 9.5340, 9.5340, 9.5340 Å; angles 18.98, 18.98, 18.98 degrees
Element x y z (fractional)
Mg (0.2368, 0.2368, 0.2368)
Mg (0.7632, 0.7632, 0.7632)
Sc (0.0000, 0.0000, 0.0000)
Be (0.5000, 0.5000, 0.5000)


(3)
Below is crystalline Mg3ScBe at its relaxed geometry, with properties calculated at the PBE level.

Calculated values
The density of states at the Fermi level is 1.774 states/eV/atom. The formation energy comes out at 140.88 kJ/mol of atoms. As for the energy above the most stable polymorph in this dataset: 1177 meV per atom.

Cell lengths 5.6303, 5.6303, 5.6303 Å; angles 90.00, 90.00, 90.00 degrees
Element x y z (fractional)
Mg (0.0000, 0.0000, 0.5000)
Mg (0.0000, 0.5000, 0.0000)
Mg (0.5000, 0.0000, 0.0000)
Sc (0.0000, 0.0000, 0.0000)
Be (0.5000, 0.5000, 0.5000)